Entry 1:
5
Lattice="5.572 0.000 0.000 0.000 5.572 0.000 0.000 0.000 3.663" Properties=species:S:1:pos:R:3 comment="PBE IrI2NF, optimized geometry" e_form_raw_kj_per_mol_fu=140 magnetic_moment_mub_per_atom=0.167 sg="P4/mmm (123)" relative_energy_ev_per_atom=0.0000 pbc="T T T"
F 2.786 2.786 1.832
I 0.000 2.786 0.000
I 2.786 0.000 0.000
Ir 0.000 0.000 0.000
N 0.000 0.000 1.832

=====

Entry 2:
5
Lattice="4.873 0.000 0.000 0.000 5.958 0.000 0.000 0.000 4.873" Properties=species:S:1:pos:R:3 comment="PBE InCu2PbO, optimized geometry" e_form_raw_kj_per_mol_fu=521 magnetic_moment_mub_per_atom=0.000 sg="P4/mmm (123)" pbc="T T T"
Cu 2.436 0.000 0.000
Cu 0.000 0.000 2.436
Pb 0.000 0.000 0.000
In 0.000 2.979 0.000
O 2.436 2.979 2.436

=====

Entry 3:
7
Lattice="3.895 -0.028 -1.119 -0.290 7.210 -0.856 0.423 0.653 9.108" Properties=species:S:1:pos:R:3 comment="PBE PuSe2Cl4, optimized geometry" e_form_raw_kj_per_mol_fu=-757 magnetic_moment_mub_per_atom=0.608 sg="P-1 (2)" pbc="T T T"
Se 2.944 4.513 3.120
Se 1.084 3.322 4.014
Pu 0.000 0.000 0.000
Cl 0.398 6.852 1.545
Cl 1.998 6.079 7.447
Cl 3.631 0.983 5.589
Cl 2.031 1.756 -0.313

=====

Entry 4:
4
Lattice="-3.160 2.764 0.265 -1.371 1.271 3.768 0.748 3.932 1.294" Properties=species:S:1:pos:R:3 comment="PBE Cu2SiMo, optimized geometry" e_form_raw_kj_per_mol_fu=42 magnetic_moment_mub_per_atom=0.001 sg="F-43m (216)" pbc="T T T"
Si -2.837 5.975 3.995
Cu -0.946 1.992 1.332
Cu 0.000 0.000 0.000
Mo -1.891 3.983 2.663

=====

Entry 5:
4
Lattice="5.653 0.000 0.000 2.827 4.896 0.000 2.827 1.632 4.616" Properties=species:S:1:pos:R:3 comment="PBE AcTl3, optimized geometry" e_tot_ev_per_atom=-3.020 magnetic_moment_mub_per_atom=0.000 sg="Fm-3m (225)" pbc="T T T"
Tl 0.000 0.000 0.000
Tl 8.480 4.896 3.462
Tl 2.827 1.632 1.154
Ac 5.653 3.264 2.308

=====

Entry 6:
6
Lattice="4.692 0.000 0.000 -2.346 4.063 0.000 0.000 0.000 5.857" Properties=species:S:1:pos:R:3 comment="PBE ZrTiAl, optimized geometry" magnetic_moment_mub_per_atom=0.000 sg="P6_3/mmc (194)" relative_energy_ev_per_atom=0.0000 pbc="T T T"
Ti 0.000 2.709 4.393
Ti 2.346 1.354 1.464
Al 0.000 2.709 1.464
Al 2.346 1.354 4.393
Zr 0.000 0.000 0.000
Zr 0.000 0.000 2.929

=====

Entry 7:
12
Lattice="12.885 0.000 0.000 -6.442 11.159 0.000 0.000 0.000 6.229" Properties=species:S:1:pos:R:3 comment="PBE CsCa, optimized geometry" e_tot_ev_per_atom=-1.145 magnetic_moment_mub_per_atom=0.000 sg="P6_3/mmc (194)" pbc="T T T"
Ca 1.999 6.285 4.672
Ca 6.442 1.411 1.557
Ca 0.000 9.748 4.672
Ca 8.442 4.874 1.557
Ca -1.999 6.285 4.672
Ca 4.443 4.874 1.557
Cs 3.226 9.302 1.557
Cs 6.442 7.445 4.672
Cs 3.216 1.857 4.672
Cs 0.000 3.714 1.557
Cs 9.669 1.857 4.672
Cs -3.226 9.302 1.557

=====

Entry 8:
8
Lattice="3.901 0.000 0.000 0.000 3.901 0.000 1.951 1.951 9.383" Properties=species:S:1:pos:R:3 comment="PBE NaVTc2, optimized geometry" magnetic_moment_mub_per_atom=0.353 sg="I-42d (122)" relative_energy_ev_per_atom=0.3998 pbc="T T T"
Tc 2.926 2.646 7.037
Tc 3.206 0.975 2.346
Tc 0.695 2.926 2.346
Tc 4.876 5.156 7.037
V 3.901 1.951 4.692
V 0.000 0.000 0.000
Na 1.951 1.951 0.000
Na 1.951 3.901 4.692

=====

Entry 9:
3
Lattice="-7.965 -4.562 1.732 -6.225 -5.414 3.889 -1.900 2.135 0.487" Properties=species:S:1:pos:R:3 comment="PBE TlCdRe, optimized geometry" magnetic_moment_mub_per_atom=0.000 sg="Fmm2 (42)" relative_energy_ev_per_atom=0.0001 pbc="T T T"
Re -10.058 -5.905 3.895
Cd -2.182 1.856 0.605
Tl -5.749 -1.659 2.095

=====

Entry 10:
8
Lattice="5.367 -0.004 0.003 -0.003 5.367 0.003 -2.679 -2.679 3.616" Properties=species:S:1:pos:R:3 comment="PBE Pr2PO5, optimized geometry" e_form_raw_kj_per_mol_fu=-2058 magnetic_moment_mub_per_atom=0.000 sg="Cm (8)" relative_energy_ev_per_atom=0.1286 pbc="T T T"
O 2.582 2.582 1.888
O 4.189 4.189 0.208
O -1.474 -1.474 3.551
O 4.191 1.209 0.071
O 1.209 4.191 0.071
Pr 2.687 0.024 1.802
Pr 0.025 2.686 1.802
P 2.690 2.690 3.487

=====

Entry 11:
5
Lattice="4.839 0.000 0.000 0.000 4.839 0.000 0.000 0.000 4.839" Properties=species:S:1:pos:R:3 comment="PBE VTcAu3, optimized geometry" magnetic_moment_mub_per_atom=0.897 sg="Pm-3m (221)" relative_energy_ev_per_atom=0.0000 pbc="T T T"
Au 0.000 0.000 2.419
Au 2.419 0.000 0.000
Au 0.000 2.419 0.000
Tc 2.419 2.419 2.419
V 0.000 0.000 0.000

=====

Entry 12:
5
Lattice="-4.663 -3.263 2.026 2.500 -4.998 -2.295 2.916 -0.933 5.208" Properties=species:S:1:pos:R:3 comment="PBE KIn3Br, optimized geometry" e_form_raw_kj_per_mol_fu=14 magnetic_moment_mub_per_atom=0.000 sg="Pm-3m (221)" relative_energy_ev_per_atom=0.0000 pbc="T T T"
K 0.376 -4.597 2.470
Br 0.000 0.000 0.000
In -2.332 -1.632 1.013
In 1.250 -2.499 -1.147
In 1.458 -0.466 2.604

=====

| no. | calculated volume (Å³ per atom) |
| --- | --- |
| 1 | 22.7 |
| 2 | 28.3 |
| 3 | 37.4 |
| 4 | 13.2 |
| 5 | 31.9 |
| 6 | 18.6 |
| 7 | 74.6 |
| 8 | 17.8 |
| 9 | 22.1 |
| 10 | 13.0 |
| 11 | 22.7 |
| 12 | 44.1 |